Entry from the Alexandria database: CoReOsSeO after structural relaxation (GGA+U).

Cell and atoms, written as POSCAR:
```
CoReOsSeO
1.0
2.8871 0.0000 0.0000
0.0000 3.7722 0.0000
0.0000 0.0000 14.0845
Os Re O Se Co
2 2 2 2 2
Cartesian
0.0000 0.0000 6.4542
0.0000 1.8861 13.4965
1.4436 1.8861 7.5946
1.4436 0.0000 0.5523
1.4436 0.0000 2.4242
1.4436 1.8861 9.4665
0.0000 0.0000 11.7594
0.0000 1.8861 4.7172
1.4436 0.0000 9.7572
1.4436 1.8861 2.7150
```

Results
Energy above the most stable polymorph in this dataset = 0.39 eV/f.u.
DOS(E_F) = 2.1 states/eV/f.u.